The following is a PBE-GGA calculation of an optimized crystal structure of PrPt5, from Alexandria.

Output
- Excess energy over the best structure of this formula in the dataset: 0 meV/atom
- M_tot: 0.00 μB per cell
- Energy relative to the elements: -0.720 eV per atom
- DOS(E_F): 0.5903 states/eV per atom
- Space group: P6/mmm, No. 191
- Calculated total energy: -6.551 eV/atom

```
PrPt5
1.0
5.4454 0.0000 0.0000
-2.7227 4.7158 0.0000
0.0000 0.0000 4.4240
Pt Pr
5 1
Direct
0.5000 0.5000 0.5000
0.5000 0.0000 0.5000
0.3333 0.6667 0.0000
0.0000 0.5000 0.5000
0.6667 0.3333 0.0000
0.0000 0.0000 0.0000
```



The following is a PBE-GGA calculation of an optimized crystal structure of Pm7DyHo12, from Alexandria.

Output
- Excess energy over the best structure of this formula in the dataset: 0 meV/atom
- M_tot: 0.00 μB per cell
- Energy relative to the elements: 0.234 eV per atom
- DOS(E_F): 1.8257 states/eV per atom
- Space group: R-3, No. 148
- Calculated total energy: -4.406 eV/atom

```
Pm7DyHo12
1.0
8.4438 1.2908 1.9374
-1.1080 8.4697 1.9374
-1.1080 -1.4743 8.5625
Ho Dy Pm
12 1 7
Direct
0.1341 0.4968 0.6181
0.1462 0.7457 0.2725
0.2543 0.7275 0.8538
0.6181 0.1341 0.4968
0.3819 0.8659 0.5032
0.5032 0.3819 0.8659
0.8538 0.2543 0.7275
0.2725 0.1462 0.7457
0.7275 0.8538 0.2543
0.8659 0.5032 0.3819
0.7457 0.2725 0.1462
0.4968 0.6181 0.1341
0.0000 0.0000 0.0000
0.3984 0.0766 0.1550
0.1550 0.3984 0.0766
0.9234 0.8450 0.6016
0.0766 0.1550 0.3984
0.5000 0.5000 0.5000
0.6016 0.9234 0.8450
0.8450 0.6016 0.9234
```



The following is a PBE-GGA calculation of an optimized crystal structure of TbSmTh2, from Alexandria.

Output
- Excess energy over the best structure of this formula in the dataset: 17 meV/atom
- M_tot: 0.00 μB per cell
- Energy relative to the elements: 0.047 eV per atom
- DOS(E_F): 1.4741 states/eV per atom
- Space group: R3m, No. 160
- Calculated total energy: -6.000 eV/atom

```
TbSmTh2
1.0
3.5802 0.0000 0.0000
1.7901 3.1006 0.0000
1.7901 1.0335 11.7012
Th Sm Tb
2 1 1
Direct
0.2506 0.2506 0.2482
0.0828 0.0828 0.7515
0.4983 0.4983 0.5051
0.6683 0.6683 0.9951
```



The following is a PBE-GGA calculation of an optimized crystal structure of SrEuAl, from Alexandria.

Output
- Excess energy over the best structure of this formula in the dataset: 152 meV/atom
- M_tot: 7.32 μB per cell
- Energy relative to the elements: 0.036 eV per atom
- DOS(E_F): 2.8135 states/eV per atom
- Space group: P3m1, No. 156
- Calculated total energy: -5.197 eV/atom

```
SrEuAl
1.0
3.8137 0.0000 0.0000
0.0000 5.5441 0.0000
0.0000 -2.7721 4.8013
Sr Al Eu
1 1 1
Direct
0.6899 0.3333 0.6667
0.0338 0.0000 0.0000
0.2763 0.6667 0.3333
```



The following is a PBE-GGA calculation of an optimized crystal structure of ScMnSe2, from Alexandria.

Output
- Excess energy over the best structure of this formula in the dataset: 543 meV/atom
- E_form (uncorrected): -0.46 eV/atom
- M_tot: 4.21 μB per cell
- DOS(E_F): 0.5910 states/eV per atom
- Space group: R-3m, No. 166
- Calculated total energy: -6.074 eV/atom

```
ScMnSe2
1.0
2.1483 0.0000 8.0893
-1.0741 1.8605 8.0893
-1.0741 -1.8605 8.0893
Sc Se Mn
1 2 1
Direct
0.0000 0.0000 0.0000
0.8928 0.8928 0.8928
0.1072 0.1072 0.1072
0.5000 0.5000 0.5000
```



The following is a PBE-GGA calculation of an optimized crystal structure of KSnB, from Alexandria.

Output
- M_tot: 0.00 μB per cell
- Energy relative to the elements: 0.538 eV per atom
- DOS(E_F): 0.0060 states/eV per atom
- Space group: Pnma, No. 62
- Calculated total energy: -3.388 eV/atom

```
KSnB
1.0
7.9521 0.0000 0.0000
0.0000 4.3735 0.0000
0.0000 0.0000 7.0138
B K Sn
4 4 4
Direct
0.8410 0.7500 0.6000
0.3410 0.7500 0.9000
0.1590 0.2500 0.4000
0.6590 0.2500 0.1000
0.9725 0.2500 0.8532
0.4725 0.2500 0.6468
0.5275 0.7500 0.3532
0.0275 0.7500 0.1468
0.3451 0.2500 0.0912
0.8451 0.2500 0.4088
0.1549 0.7500 0.5912
0.6549 0.7500 0.9088
```



The following is a PBE-GGA calculation of an optimized crystal structure of SrRuCl3, from Alexandria.

Output
- Excess energy over the best structure of this formula in the dataset: 0 meV/atom
- E_form (uncorrected): -0.91 eV/atom
- M_tot: 0.00 μB per cell
- DOS(E_F): 0.4169 states/eV per atom
- Space group: Pm-3m, No. 221
- Calculated total energy: -4.211 eV/atom

```
SrRuCl3
1.0
4.8561 0.0000 0.0000
0.0000 4.8561 0.0000
0.0000 0.0000 4.8561
Cl Ru Sr
3 1 1
Direct
0.0000 0.0000 0.5000
0.5000 0.0000 0.0000
0.0000 0.5000 0.0000
0.0000 0.0000 0.0000
0.5000 0.5000 0.5000
```



The following is a PBE-GGA calculation of an optimized crystal structure of Mg2AlGa2, from Alexandria.

Output
- Excess energy over the best structure of this formula in the dataset: 0 meV/atom
- M_tot: 0.00 μB per cell
- Energy relative to the elements: -0.092 eV per atom
- DOS(E_F): 0.3444 states/eV per atom
- Space group: P4/mbm, No. 127
- Calculated total energy: -2.689 eV/atom

```
Mg2AlGa2
1.0
-5.0135 2.3466 -3.9355
-3.9118 -5.2296 1.8651
-1.4861 2.2695 3.2464
Al Mg Ga
2 4 4
Direct
0.5000 0.5000 0.0000
0.0000 0.0000 0.0000
0.1715 0.6715 0.5000
0.8285 0.3285 0.5000
0.6715 0.8285 0.5000
0.3285 0.1715 0.5000
0.1343 0.3657 0.0000
0.3657 0.8657 0.0000
0.6343 0.1343 0.0000
0.8657 0.6343 0.0000
```



The following is a PBE-GGA calculation of an optimized crystal structure of KHgF2, from Alexandria.

Output
- Excess energy over the best structure of this formula in the dataset: 191 meV/atom
- E_form (uncorrected): -1.75 eV/atom
- M_tot: 0.00 μB per cell
- DOS(E_F): 0.0328 states/eV per atom
- Space group: I-42d, No. 122
- Calculated total energy: -3.032 eV/atom

```
KHgF2
1.0
-5.1865 -0.9570 -3.0837
2.7875 -4.2716 -3.3627
-2.5984 -6.2733 0.2652
F Hg K
4 2 2
Direct
0.8750 0.8911 0.7500
0.1089 0.6250 0.2500
0.3750 0.3589 0.7500
0.6411 0.1250 0.2500
0.7500 0.2500 0.5000
0.0000 0.0000 0.0000
0.2500 0.7500 0.5000
0.5000 0.5000 0.0000
```



The following is a PBE-GGA calculation of an optimized crystal structure of Dy2HoH8, from Alexandria.

Output
- M_tot: 0.00 μB per cell
- DOS(E_F): 0.1095 states/eV per atom
- Space group: Immm, No. 71
- Calculated total energy: -4.318 eV/atom

```
Dy2HoH8
1.0
3.4729 0.0000 -1.0570
-0.7601 4.3973 -2.4974
0.0069 0.5812 6.2567
H Dy Ho
8 2 1
Direct
0.6605 0.4198 0.3210
0.6605 0.9012 0.3210
0.3395 0.5802 0.6790
0.0000 0.2678 0.0000
0.1587 0.1586 0.3173
0.3395 0.0988 0.6790
0.0000 0.7322 0.0000
0.8413 0.8414 0.6827
0.1682 0.6682 0.3364
0.8318 0.3318 0.6636
0.5000 0.0000 0.0000
```



The following is a PBE-GGA calculation of an optimized crystal structure of Pm3Ga7Co2, from Alexandria.

Output
- Excess energy over the best structure of this formula in the dataset: 110 meV/atom
- M_tot: 0.00 μB per cell
- Energy relative to the elements: -0.427 eV per atom
- DOS(E_F): 0.7132 states/eV per atom
- Space group: I4/mmm, No. 139
- Calculated total energy: -4.565 eV/atom

```
Pm3Ga7Co2
1.0
4.5109 0.0000 0.0000
0.0000 4.5109 0.0000
-2.2555 -2.2555 12.1780
Ga Pm Co
7 3 2
Direct
0.0000 0.0000 0.0000
0.4041 0.9041 0.8083
0.9041 0.4041 0.8083
0.8082 0.8082 0.6164
0.1918 0.1918 0.3836
0.5959 0.0959 0.1917
0.0959 0.5959 0.1917
0.6874 0.6874 0.3748
0.5000 0.5000 0.0000
0.3126 0.3126 0.6252
0.0936 0.0936 0.1871
0.9064 0.9064 0.8129
```



The following is a PBE-GGA calculation of an optimized crystal structure of BiSb2TeC, from Alexandria.

Output
- Excess energy over the best structure of this formula in the dataset: 1318 meV/atom
- E_form (uncorrected): 2.19 eV/atom
- M_tot: 0.50 μB per cell
- DOS(E_F): 1.8195 states/eV per atom
- Space group: P4/mmm, No. 123
- Calculated total energy: -2.704 eV/atom

```
BiSb2TeC
1.0
-5.0950 -2.8147 -0.8783
-0.1717 -1.4673 5.6983
-2.9928 5.0406 1.2078
C Sb Te Bi
1 2 1 1
Direct
0.5000 0.5000 0.5000
0.0000 0.5000 0.0000
0.5000 0.0000 0.0000
0.0000 0.0000 0.5000
0.0000 0.0000 0.0000
```



- Among the records above, which one has the lowest DOS(E_F)?
  KSnB



- DOS(E_F) of number 4 (SrEuAl)?
  2.8135 states/eV per atom